[1]
Density functional theory data (PBE-GGA) for a relaxed Na2HoHgO4 crystal.

Lattice parameters (Å, degrees): 5.7700 3.4355 5.9793 90.00 108.93 90.00
Sites, in units of the cell vectors:
Na  0.0000  0.0000  0.0000
Na  0.5000  0.5000  0.0000
Ho  0.0000  0.5000  0.5000
Hg  0.5000  0.0000  0.5000
O  0.2251  0.0000  0.7197
O  0.2474  0.5000  0.2689
O  0.7526  0.5000  0.7311
O  0.7749  0.0000  0.2803

* calculated total energy: -0.1879 Ha/atom
* space group: P2/m (10)
* total moment: 1.0 μB per cell
* formation energy (no corrections): -1.693 eV per atom



[2]
Density functional theory data (PBE-GGA) for a relaxed NaPmHoHg crystal.

Lattice parameters (Å, degrees): 5.3978 5.3978 5.3978 60.00 60.00 60.00
Sites, in units of the cell vectors:
Na  0.0000  0.0000  0.0000
Pm  0.2500  0.2500  0.2500
Ho  0.7500  0.7500  0.7500
Hg  0.5000  0.5000  0.5000

* calculated total energy: -0.1025 Ha/atom
* space group: F-43m (216)
* ΔE_f: -0.05 eV per atom
* total moment: 0.8 μB per cell



[3]
Density functional theory data (PBE-GGA) for a relaxed NaPmHo2Hg4 crystal.

Lattice parameters (Å, degrees): 9.2239 9.2239 9.2239 32.85 32.85 32.85
Sites, in units of the cell vectors:
Na  0.0000  0.0000  0.0000
Pm  0.5000  0.5000  0.5000
Ho  0.2548  0.2548  0.2548
Ho  0.7452  0.7452  0.7452
Hg  0.1218  0.1218  0.1218
Hg  0.3748  0.3748  0.3748
Hg  0.6252  0.6252  0.6252
Hg  0.8782  0.8782  0.8782

* calculated total energy: -0.0903 Ha/atom
* space group: R-3m (166)
* ΔE_f: -0.40 eV per atom
* total moment: 0.0 μB per cell



[4]
Density functional theory data (PBE-GGA) for a relaxed NaPrHo2Hg4 crystal.

Lattice parameters (Å, degrees): 9.3341 9.3341 9.3341 32.44 32.44 32.44
Sites, in units of the cell vectors:
Na  0.0000  0.0000  0.0000
Pr  0.5000  0.5000  0.5000
Ho  0.2558  0.2558  0.2558
Ho  0.7442  0.7442  0.7442
Hg  0.1195  0.1195  0.1195
Hg  0.3740  0.3740  0.3740
Hg  0.6260  0.6260  0.6260
Hg  0.8805  0.8805  0.8805

* calculated total energy: -0.0902 Ha/atom
* space group: R-3m (166)
* ΔE_f: -0.40 eV per atom
* total moment: 0.0 μB per cell



[5]
Density functional theory data (PBE-GGA) for a relaxed NaHoHgPt crystal.

Lattice parameters (Å, degrees): 4.9643 4.9643 4.9643 60.00 60.00 60.00
Sites, in units of the cell vectors:
Na  0.0000  0.0000  0.0000
Ho  0.5000  0.5000  0.5000
Hg  0.7500  0.7500  0.7500
Pt  0.2500  0.2500  0.2500

* calculated total energy: -0.1310 Ha/atom
* space group: F-43m (216)
* ΔE_f: -0.51 eV per atom
* total moment: 0.0 μB per cell



[6]
Density functional theory data (PBE-GGA) for a relaxed NaSmHo2Hg4 crystal.

Lattice parameters (Å, degrees): 9.1809 9.1809 9.1809 33.02 33.02 33.02
Sites, in units of the cell vectors:
Na  0.0000  0.0000  0.0000
Sm  0.5000  0.5000  0.5000
Ho  0.2543  0.2543  0.2543
Ho  0.7457  0.7457  0.7457
Hg  0.1228  0.1228  0.1228
Hg  0.3749  0.3749  0.3749
Hg  0.6251  0.6251  0.6251
Hg  0.8772  0.8772  0.8772

* calculated total energy: -0.0902 Ha/atom
* space group: R-3m (166)
* ΔE_f: -0.40 eV per atom
* total moment: 0.0 μB per cell



[7]
Density functional theory data (PBE-GGA) for a relaxed NaHoSnHg crystal.

Lattice parameters (Å, degrees): 5.2469 5.2469 5.2469 60.00 60.00 60.00
Sites, in units of the cell vectors:
Na  0.0000  0.0000  0.0000
Ho  0.5000  0.5000  0.5000
Sn  0.7500  0.7500  0.7500
Hg  0.2500  0.2500  0.2500

* calculated total energy: -0.1092 Ha/atom
* space group: F-43m (216)
* ΔE_f: -0.42 eV per atom
* total moment: 0.0 μB per cell



[8]
Density functional theory data (PBE-GGA) for a relaxed NaTbHoHg crystal.

Lattice parameters (Å, degrees): 5.3439 5.3439 5.3439 60.00 60.00 60.00
Sites, in units of the cell vectors:
Na  0.0000  0.0000  0.0000
Tb  0.2500  0.2500  0.2500
Ho  0.7500  0.7500  0.7500
Hg  0.5000  0.5000  0.5000

* calculated total energy: -0.1010 Ha/atom
* space group: F-43m (216)
* ΔE_f: -0.04 eV per atom
* total moment: 0.5 μB per cell



[9]
Density functional theory data (PBE-GGA) for a relaxed Ho2NbHg crystal.

Lattice parameters (Å, degrees): 3.3689 3.3689 8.5863 90.00 90.00 90.00
Sites, in units of the cell vectors:
Ho  0.0000  0.0000  0.2441
Ho  0.0000  0.0000  0.7559
Nb  0.5000  0.5000  0.0000
Hg  0.5000  0.5000  0.5000

* calculated total energy: -0.1815 Ha/atom
* excess energy over the best structure of this formula in the dataset: 0.0 meV per atom
* space group: P4/mmm (123)
* ΔE_f: -0.06 eV per atom
* total moment: 0.0 μB per cell



[10]
Density functional theory data (PBE-GGA) for a relaxed Ho2NbHg crystal.

Lattice parameters (Å, degrees): 11.3343 11.3343 11.3343 16.39 16.39 16.39
Sites, in units of the cell vectors:
Ho  0.0877  0.0877  0.0877
Ho  0.9123  0.9123  0.9123
Nb  0.0000  0.0000  0.0000
Hg  0.5000  0.5000  0.5000

* calculated total energy: -0.1639 Ha/atom
* excess energy over the best structure of this formula in the dataset: 478.1 meV per atom
* space group: R-3m (166)
* ΔE_f: 0.42 eV per atom
* total moment: 0.8 μB per cell



[11]
Density functional theory data (PBE-GGA) for a relaxed Nd12Ho3Hg crystal.

Lattice parameters (Å, degrees): 5.0786 5.0786 20.6157 90.00 90.00 90.00
Sites, in units of the cell vectors:
Nd  0.0000  0.0000  0.0000
Nd  0.0000  0.0000  0.2454
Nd  0.0000  0.0000  0.5000
Nd  0.0000  0.0000  0.7546
Nd  0.0000  0.5000  0.1210
Nd  0.0000  0.5000  0.3734
Nd  0.0000  0.5000  0.6266
Nd  0.0000  0.5000  0.8790
Nd  0.5000  0.0000  0.1210
Nd  0.5000  0.0000  0.3734
Nd  0.5000  0.0000  0.6266
Nd  0.5000  0.0000  0.8790
Ho  0.5000  0.5000  0.2472
Ho  0.5000  0.5000  0.5000
Ho  0.5000  0.5000  0.7528
Hg  0.5000  0.5000  0.0000

* calculated total energy: -0.1645 Ha/atom
* space group: P4/mmm (123)
* ΔE_f: -0.02 eV per atom
* total moment: 0.0 μB per cell



[12]
Density functional theory data (PBE-GGA) for a relaxed NdHoHg3 crystal.

Lattice parameters (Å, degrees): 14.7234 14.7234 4.9659 90.00 90.00 165.96
Sites, in units of the cell vectors:
Nd  0.0762  0.9238  0.7500
Nd  0.9238  0.0762  0.2500
Ho  0.2106  0.7894  0.2500
Ho  0.7894  0.2106  0.7500
Hg  0.3165  0.6835  0.2500
Hg  0.3765  0.6235  0.7500
Hg  0.4756  0.5244  0.7500
Hg  0.5244  0.4756  0.2500
Hg  0.6235  0.3765  0.2500
Hg  0.6835  0.3165  0.7500

* calculated total energy: -0.0909 Ha/atom
* excess energy over the best structure of this formula in the dataset: 0.0 meV per atom
* space group: Cmcm (63)
* ΔE_f: -0.42 eV per atom
* total moment: 0.4 μB per cell